Record 1
Entry from Alexandria via LeMat-Bulk: a relaxed structure of CsIrW2Se8 (PBE).

Cell lengths 10.5211, 10.5211, 10.5211 Å; angles 35.93, 35.93, 35.93 degrees
Fractional coordinates of all 12 atoms:
Cs1 0.0000 0.0000 0.0000
Ir1 0.5000 0.5000 0.5000
W1 0.2396 0.2396 0.2396
W2 0.7604 0.7604 0.7604
Se1 0.1409 0.7657 0.4414
Se2 0.2343 0.5586 0.8591
Se3 0.3181 0.3181 0.3181
Se4 0.4414 0.1409 0.7657
Se5 0.5586 0.8591 0.2343
Se6 0.6819 0.6819 0.6819
Se7 0.7657 0.4414 0.1409
Se8 0.8591 0.2343 0.5586

Calculated values
The value obtained for the formation energy (no corrections) is -31.0 kJ/mol of atoms. As for the symmetry: R-3 (148).

Record 2
Entry from Alexandria via LeMat-Bulk: a relaxed structure of CaPrBi2 (PBE).

Cell lengths 5.6633, 5.6633, 5.6633 Å; angles 60.00, 60.00, 60.00 degrees
Fractional coordinates of all 4 atoms:
Ca1 0.0000 0.0000 0.0000
Pr1 0.5000 0.5000 0.5000
Bi1 0.2500 0.2500 0.2500
Bi2 0.7500 0.7500 0.7500

Calculated values
As for the symmetry: Fm-3m (225). As for the excess energy over the best structure of this formula in the dataset: 69 meV per atom. Its energy of formation is -0.697 eV/atom.